Compound: LiLaP4O12
Source: Alexandria via LeMat-Bulk
Functional: PBEsol
Structure: optimized geometry

Calculated values
Formation energy (no corrections) (eV per atom): -2.49
SG: C2/c, No. 15
Size of the total moment (μB per cell): 0.00
DOS at the Fermi energy (states/eV/atom): 0.000

Cell: 7.099 9.021 9.036 Å, 66.63 66.87 66.83°
Fractional coordinates of all 36 atoms:
Li 0.200 0.750 0.250
Li 0.800 0.250 0.750
La 0.700 0.750 0.250
La 0.300 0.250 0.750
P 0.802 0.612 0.664
P 0.078 0.888 0.836
P 0.198 0.388 0.336
P 0.922 0.112 0.164
P 0.488 0.798 0.904
P 0.190 0.702 0.596
P 0.512 0.202 0.096
P 0.810 0.298 0.404
O 0.663 0.678 0.551
O 0.891 0.822 0.949
O 0.337 0.322 0.449
O 0.109 0.178 0.051
O 0.667 0.642 0.845
O 0.154 0.858 0.655
O 0.333 0.358 0.155
O 0.846 0.142 0.345
O 0.072 0.571 0.299
O 0.942 0.929 0.201
O 0.928 0.429 0.701
O 0.058 0.071 0.799
O 0.954 0.732 0.589
O 0.276 0.768 0.911
O 0.046 0.268 0.411
O 0.724 0.232 0.089
O 0.473 0.767 0.084
O 0.324 0.733 0.416
O 0.527 0.233 0.916
O 0.676 0.267 0.584
O 0.745 0.462 0.278
O 0.485 0.038 0.222
O 0.255 0.538 0.722
O 0.515 0.962 0.778

=====

Compound: SmTlPd
Source: Alexandria via LeMat-Bulk
Functional: PBEsol
Structure: optimized geometry

Calculated values
SG: P-62m, No. 189
Size of the total moment (μB per cell): 0.00
Energy of formation from the pure elements (eV per atom): -0.691
DOS at the Fermi energy (states/eV/atom): 0.796

Cell: 3.862 7.726 7.726 Å, 120.00 90.00 90.00°
Fractional coordinates of all 9 atoms:
Sm 0.500 0.000 0.594
Sm 0.500 0.406 0.406
Sm 0.500 0.594 0.000
Tl 0.000 0.000 0.263
Tl 0.000 0.737 0.737
Tl 0.000 0.263 0.000
Pd 0.500 0.000 0.000
Pd 0.000 0.333 0.667
Pd 0.000 0.667 0.333

=====

Compound: YFeSb2
Source: Alexandria via LeMat-Bulk
Functional: PBEsol
Structure: optimized geometry

Calculated values
Formation energy (no corrections) (eV per atom): 0.04
SG: R3m, No. 160
Size of the total moment (μB per cell): 1.06
DOS at the Fermi energy (states/eV/atom): 0.688

Cell: 3.491 3.491 8.860 Å, 78.64 78.64 60.00°
Fractional coordinates of all 4 atoms:
Fe 0.256 0.256 0.232
Sb 0.980 0.980 0.060
Sb 0.750 0.750 0.749
Y 0.514 0.514 0.459

=====

Compound: Lu3B5O12
Source: Alexandria via LeMat-Bulk
Functional: PBEsol
Structure: optimized geometry

Calculated values
Formation energy (no corrections) (eV per atom): -3.05
SG: Pmna, No. 53
Size of the total moment (μB per cell): 0.00
DOS at the Fermi energy (states/eV/atom): 0.000

Cell: 4.531 12.350 12.675 Å, 90.00 90.00 90.00°
Fractional coordinates of all 80 atoms:
Lu 0.996 0.694 0.636
Lu 0.000 0.500 0.868
Lu 0.000 0.000 0.632
Lu 0.000 0.500 0.132
Lu 0.996 0.806 0.136
Lu 0.000 0.000 0.368
Lu 0.004 0.306 0.636
Lu 0.004 0.306 0.364
Lu 0.996 0.806 0.864
Lu 0.004 0.194 0.136
Lu 0.996 0.694 0.364
Lu 0.004 0.194 0.864
B 0.457 0.128 0.000
B 0.535 0.150 0.298
B 0.465 0.850 0.702
B 0.500 0.500 0.338
B 0.457 0.372 0.500
B 0.500 0.000 0.838
B 0.535 0.350 0.202
B 0.465 0.850 0.298
B 0.465 0.650 0.798
B 0.465 0.650 0.202
B 0.536 0.852 0.500
B 0.535 0.350 0.798
B 0.543 0.628 0.500
B 0.500 0.500 0.662
B 0.464 0.148 0.500
B 0.535 0.150 0.702
B 0.536 0.648 0.000
B 0.543 0.872 0.000
B 0.464 0.352 0.000
B 0.500 0.000 0.162
O 0.666 0.924 0.096
O 0.696 0.064 0.767
O 0.696 0.436 0.267
O 0.765 0.141 0.000
O 0.781 0.848 0.704
O 0.304 0.564 0.733
O 0.781 0.652 0.796
O 0.765 0.359 0.500
O 0.666 0.576 0.404
O 0.235 0.859 0.000
O 0.759 0.932 0.500
O 0.219 0.152 0.704
O 0.304 0.564 0.267
O 0.241 0.432 0.000
O 0.759 0.568 0.000
O 0.219 0.348 0.204
O 0.241 0.068 0.500
O 0.235 0.641 0.500
O 0.665 0.356 0.095
O 0.664 0.250 0.750
O 0.334 0.424 0.404
O 0.335 0.856 0.405
O 0.304 0.936 0.767
O 0.666 0.924 0.904
O 0.335 0.856 0.595
O 0.665 0.144 0.595
O 0.696 0.064 0.233
O 0.696 0.436 0.733
O 0.334 0.076 0.904
O 0.698 0.740 0.500
O 0.304 0.936 0.233
O 0.219 0.152 0.296
O 0.781 0.652 0.204
O 0.336 0.750 0.750
O 0.334 0.424 0.596
O 0.665 0.144 0.405
O 0.302 0.240 0.000
O 0.335 0.644 0.095
O 0.665 0.356 0.905
O 0.336 0.750 0.250
O 0.302 0.260 0.500
O 0.219 0.348 0.796
O 0.664 0.250 0.250
O 0.335 0.644 0.905
O 0.781 0.848 0.296
O 0.334 0.076 0.096
O 0.666 0.576 0.596
O 0.698 0.760 0.000

=====

Compound: ReOs2W
Source: Alexandria via LeMat-Bulk
Functional: PBEsol
Structure: optimized geometry

Calculated values
SG: Cmmm, No. 65
Size of the total moment (μB per cell): 0.00
Energy above the lowest structure with this stoichiometry (meV per atom): 14
Energy of formation from the pure elements (eV per atom): 0.047
DOS at the Fermi energy (states/eV/atom): 0.953

Cell: 2.744 4.739 4.739 Å, 109.30 90.00 90.00°
Fractional coordinates of all 4 atoms:
Os 0.000 0.500 0.000
Os 0.000 0.000 0.500
Re 0.500 0.000 0.000
W 0.500 0.500 0.500

=====

Compound: Ga3WC
Source: Alexandria via LeMat-Bulk
Functional: PBEsol
Structure: optimized geometry

Calculated values
SG: Pm-3m, No. 221
Size of the total moment (μB per cell): 0.02
Energy above the lowest structure with this stoichiometry (meV per atom): 0
Energy of formation from the pure elements (eV per atom): 1.187
DOS at the Fermi energy (states/eV/atom): 0.938

Cell: 4.140 4.140 4.140 Å, 90.00 90.00 90.00°
Fractional coordinates of all 5 atoms:
C 0.000 0.000 0.000
Ga 0.000 0.500 0.000
Ga 0.000 0.000 0.500
Ga 0.500 0.000 0.000
W 0.500 0.500 0.500

=====

Number 5 is which compound?
ReOs2W